Material: NaTcN
Method: DFT, PBE
State: optimized geometry

```
NaTcN
1.0
-0.881 2.212 1.999
-2.349 0.554 -4.076
-2.107 -4.719 4.305
N Na Tc
2 2 2
direct
0.197 0.893 0.260 N
0.803 0.107 0.740 N
0.413 0.325 0.100 Na
0.587 0.675 0.900 Na
0.846 0.192 0.459 Tc
0.154 0.808 0.541 Tc
```

Results
Spin magnetization in μB per atom: 0.00
Energy relative to the elements, uncorrected in eV per atom: 0.003
Theoretical density in g/cm3: 5.56